First-principles (GGA-PBE) data for a relaxed RbErSb2Au2 crystal, as listed in the Alexandria database.

Output
- total energy (eV/atom) = -4.068

CIF file:
```
data_RbErSb2Au2
_chemical_formula_sum 'Rb1 Er1 Sb2 Au2'
_symmetry_space_group_name_H-M 'P 1'
_symmetry_Int_Tables_number 1
_cell_length_a 4.6629
_cell_length_b 4.6629
_cell_length_c 9.4990
_cell_angle_alpha 90.00
_cell_angle_beta 90.00
_cell_angle_gamma 120.00
loop_
_symmetry_equiv_pos_as_xyz
'x,y,z'
loop_
_atom_site_label
_atom_site_fract_x
_atom_site_fract_y
_atom_site_fract_z
Rb1 0.0000 0.0000 0.0000
Er1 0.0000 0.0000 0.5000
Sb1 0.3333 0.6667 0.7194
Sb2 0.6667 0.3333 0.2806
Au1 0.3333 0.6667 0.3400
Au2 0.6667 0.3333 0.6600
```

=====

First-principles (GGA-PBE) data for a relaxed RbErTe2Au crystal, as listed in the Alexandria database.

Output
- total energy (eV/atom) = -3.873

CIF file:
```
data_RbErTe2Au
_chemical_formula_sum 'Rb2 Er2 Te4 Au2'
_symmetry_space_group_name_H-M 'P 1'
_symmetry_Int_Tables_number 1
_cell_length_a 8.7364
_cell_length_b 4.7799
_cell_length_c 8.5038
_cell_angle_alpha 90.00
_cell_angle_beta 94.65
_cell_angle_gamma 90.00
loop_
_symmetry_equiv_pos_as_xyz
'x,y,z'
loop_
_atom_site_label
_atom_site_fract_x
_atom_site_fract_y
_atom_site_fract_z
Rb1 0.0000 0.0893 0.2500
Rb2 0.0000 0.9107 0.7500
Er1 0.5000 0.4973 0.7500
Er2 0.5000 0.5027 0.2500
Te1 0.2593 0.3798 0.9809
Te2 0.2593 0.6202 0.4809
Te3 0.7407 0.3798 0.5191
Te4 0.7407 0.6202 0.0191
Au1 0.5000 0.0000 0.0000
Au2 0.5000 0.0000 0.5000
```

=====

First-principles (GGA-PBE) data for a relaxed Er4RhAu2 crystal, as listed in the Alexandria database.

Output
- formation enthalpy at 0 K (eV per atom) = -0.722

CIF file:
```
data_Er4RhAu2
_chemical_formula_sum 'Er4 Rh1 Au2'
_symmetry_space_group_name_H-M 'P 1'
_symmetry_Int_Tables_number 1
_cell_length_a 8.5569
_cell_length_b 8.5569
_cell_length_c 8.5569
_cell_angle_alpha 33.55
_cell_angle_beta 33.55
_cell_angle_gamma 33.55
loop_
_symmetry_equiv_pos_as_xyz
'x,y,z'
loop_
_atom_site_label
_atom_site_fract_x
_atom_site_fract_y
_atom_site_fract_z
Er1 0.1224 0.1224 0.1224
Er2 0.3724 0.3724 0.3724
Er3 0.6276 0.6276 0.6276
Er4 0.8776 0.8776 0.8776
Rh1 0.0000 0.0000 0.0000
Au1 0.2457 0.2457 0.2457
Au2 0.7543 0.7543 0.7543
```

=====

First-principles (GGA-PBE) data for a relaxed Er5Rh2Au crystal, as listed in the Alexandria database.

Output
- formation enthalpy at 0 K (eV per atom) = -0.763

CIF file:
```
data_Er5Rh2Au
_chemical_formula_sum 'Er10 Rh4 Au2'
_symmetry_space_group_name_H-M 'P 1'
_symmetry_Int_Tables_number 1
_cell_length_a 8.5337
_cell_length_b 8.5337
_cell_length_c 8.5337
_cell_angle_alpha 127.42
_cell_angle_beta 127.42
_cell_angle_gamma 77.57
loop_
_symmetry_equiv_pos_as_xyz
'x,y,z'
loop_
_atom_site_label
_atom_site_fract_x
_atom_site_fract_y
_atom_site_fract_z
Er1 0.0000 0.0000 0.0000
Er2 0.0237 0.5237 0.8255
Er3 0.1982 0.0237 0.5000
Er4 0.3018 0.8018 0.8255
Er5 0.4763 0.3018 0.5000
Er6 0.5000 0.5000 0.0000
Er7 0.5237 0.6982 0.5000
Er8 0.6982 0.1982 0.1745
Er9 0.8018 0.9763 0.5000
Er10 0.9763 0.4763 0.1745
Rh1 0.1381 0.3619 0.5000
Rh2 0.3619 0.8619 0.2238
Rh3 0.6381 0.1381 0.7762
Rh4 0.8619 0.6381 0.5000
Au1 0.2500 0.2500 0.0000
Au2 0.7500 0.7500 0.0000
```

=====

First-principles (GGA-PBE) data for a relaxed Er4RhAu3 crystal, as listed in the Alexandria database.

Output
- formation enthalpy at 0 K (eV per atom) = -0.889

CIF file:
```
data_Er4RhAu3
_chemical_formula_sum 'Er4 Rh1 Au3'
_symmetry_space_group_name_H-M 'P 1'
_symmetry_Int_Tables_number 1
_cell_length_a 3.5139
_cell_length_b 3.5139
_cell_length_c 14.2079
_cell_angle_alpha 90.00
_cell_angle_beta 90.00
_cell_angle_gamma 90.00
loop_
_symmetry_equiv_pos_as_xyz
'x,y,z'
loop_
_atom_site_label
_atom_site_fract_x
_atom_site_fract_y
_atom_site_fract_z
Er1 0.0000 0.0000 0.1158
Er2 0.0000 0.0000 0.3710
Er3 0.0000 0.0000 0.6290
Er4 0.0000 0.0000 0.8842
Rh1 0.5000 0.5000 0.0000
Au1 0.5000 0.5000 0.2454
Au2 0.5000 0.5000 0.5000
Au3 0.5000 0.5000 0.7546
```

=====

First-principles (GGA-PBE) data for a relaxed Er3Rh2Au3 crystal, as listed in the Alexandria database.

Output
- formation enthalpy at 0 K (eV per atom) = -0.875

CIF file:
```
data_Er3Rh2Au3
_chemical_formula_sum 'Er3 Rh2 Au3'
_symmetry_space_group_name_H-M 'P 1'
_symmetry_Int_Tables_number 1
_cell_length_a 7.2443
_cell_length_b 7.2443
_cell_length_c 3.6148
_cell_angle_alpha 90.00
_cell_angle_beta 90.00
_cell_angle_gamma 120.00
loop_
_symmetry_equiv_pos_as_xyz
'x,y,z'
loop_
_atom_site_label
_atom_site_fract_x
_atom_site_fract_y
_atom_site_fract_z
Er1 0.0000 0.5942 0.0000
Er2 0.4058 0.4058 0.0000
Er3 0.5942 0.0000 0.0000
Rh1 0.3333 0.6667 0.5000
Rh2 0.6667 0.3333 0.5000
Au1 0.0000 0.2308 0.5000
Au2 0.2308 0.0000 0.5000
Au3 0.7692 0.7692 0.5000
```

=====

First-principles (GGA-PBE) data for a relaxed Er3RhAu2 crystal, as listed in the Alexandria database.

Output
- formation enthalpy at 0 K (eV per atom) = -0.894

CIF file:
```
data_Er3RhAu2
_chemical_formula_sum 'Er3 Rh1 Au2'
_symmetry_space_group_name_H-M 'P 1'
_symmetry_Int_Tables_number 1
_cell_length_a 3.5160
_cell_length_b 3.5160
_cell_length_c 10.5097
_cell_angle_alpha 90.00
_cell_angle_beta 90.00
_cell_angle_gamma 90.00
loop_
_symmetry_equiv_pos_as_xyz
'x,y,z'
loop_
_atom_site_label
_atom_site_fract_x
_atom_site_fract_y
_atom_site_fract_z
Er1 0.0000 0.0000 0.0000
Er2 0.0000 0.0000 0.3443
Er3 0.0000 0.0000 0.6557
Rh1 0.5000 0.5000 0.5000
Au1 0.5000 0.5000 0.1727
Au2 0.5000 0.5000 0.8273
```

=====

First-principles (GGA-PBE) data for a relaxed Er6RhAu5 crystal, as listed in the Alexandria database.

Output
- formation enthalpy at 0 K (eV per atom) = -0.880

CIF file:
```
data_Er6RhAu5
_chemical_formula_sum 'Er6 Rh1 Au5'
_symmetry_space_group_name_H-M 'P 1'
_symmetry_Int_Tables_number 1
_cell_length_a 7.9287
_cell_length_b 7.9287
_cell_length_c 7.0870
_cell_angle_alpha 90.00
_cell_angle_beta 90.00
_cell_angle_gamma 143.25
loop_
_symmetry_equiv_pos_as_xyz
'x,y,z'
loop_
_atom_site_label
_atom_site_fract_x
_atom_site_fract_y
_atom_site_fract_z
Er1 0.0000 0.0000 0.2430
Er2 0.0000 0.0000 0.7570
Er3 0.3369 0.6631 0.2463
Er4 0.3369 0.6631 0.7537
Er5 0.6631 0.3369 0.2463
Er6 0.6631 0.3369 0.7537
Rh1 0.5000 0.5000 0.0000
Au1 0.1654 0.8346 0.0000
Au2 0.1677 0.8323 0.5000
Au3 0.5000 0.5000 0.5000
Au4 0.8323 0.1677 0.5000
Au5 0.8346 0.1654 0.0000
```

=====

First-principles (GGA-PBE) data for a relaxed Er8Rh2Au crystal, as listed in the Alexandria database.

Output
- formation enthalpy at 0 K (eV per atom) = -0.441

CIF file:
```
data_Er8Rh2Au
_chemical_formula_sum 'Er8 Rh2 Au1'
_symmetry_space_group_name_H-M 'P 1'
_symmetry_Int_Tables_number 1
_cell_length_a 7.6458
_cell_length_b 7.6458
_cell_length_c 5.6724
_cell_angle_alpha 99.18
_cell_angle_beta 99.18
_cell_angle_gamma 113.42
loop_
_symmetry_equiv_pos_as_xyz
'x,y,z'
loop_
_atom_site_label
_atom_site_fract_x
_atom_site_fract_y
_atom_site_fract_z
Er1 0.0000 0.0000 0.0000
Er2 0.0342 0.2929 0.5960
Er3 0.1416 0.6004 0.1832
Er4 0.2929 0.0342 0.5960
Er5 0.4475 0.7062 0.7791
Er6 0.6004 0.1416 0.1832
Er7 0.7062 0.4475 0.7791
Er8 0.7454 0.7454 0.3702
Rh1 0.0641 0.6773 0.6848
Rh2 0.6773 0.0641 0.6848
Au1 0.3734 0.3734 0.0668
```

=====

First-principles (GGA-PBE) data for a relaxed Er2RhAu4 crystal, as listed in the Alexandria database.

Output
- formation enthalpy at 0 K (eV per atom) = -0.644

CIF file:
```
data_Er2RhAu4
_chemical_formula_sum 'Er2 Rh1 Au4'
_symmetry_space_group_name_H-M 'P 1'
_symmetry_Int_Tables_number 1
_cell_length_a 5.8526
_cell_length_b 5.8526
_cell_length_c 5.9539
_cell_angle_alpha 119.41
_cell_angle_beta 119.41
_cell_angle_gamma 89.91
loop_
_symmetry_equiv_pos_as_xyz
'x,y,z'
loop_
_atom_site_label
_atom_site_fract_x
_atom_site_fract_y
_atom_site_fract_z
Er1 0.0000 0.5000 0.0000
Er2 0.5000 0.0000 0.0000
Rh1 0.0000 0.0000 0.0000
Au1 0.0000 0.0000 0.5000
Au2 0.0000 0.5000 0.5000
Au3 0.5000 0.0000 0.5000
Au4 0.5000 0.5000 0.5000
```

=====

First-principles (GGA-PBE) data for a relaxed Er5RhAu2 crystal, as listed in the Alexandria database.

Output
- formation enthalpy at 0 K (eV per atom) = -0.725

CIF file:
```
data_Er5RhAu2
_chemical_formula_sum 'Er10 Rh2 Au4'
_symmetry_space_group_name_H-M 'P 1'
_symmetry_Int_Tables_number 1
_cell_length_a 7.1808
_cell_length_b 11.5346
_cell_length_c 4.7436
_cell_angle_alpha 90.00
_cell_angle_beta 90.00
_cell_angle_gamma 90.00
loop_
_symmetry_equiv_pos_as_xyz
'x,y,z'
loop_
_atom_site_label
_atom_site_fract_x
_atom_site_fract_y
_atom_site_fract_z
Er1 0.0000 0.0000 0.0000
Er2 0.1524 0.2922 0.0000
Er3 0.1800 0.5869 0.5000
Er4 0.3200 0.0869 0.5000
Er5 0.3476 0.7922 0.0000
Er6 0.5000 0.5000 0.0000
Er7 0.6524 0.2078 0.0000
Er8 0.6800 0.9131 0.5000
Er9 0.8200 0.4131 0.5000
Er10 0.8476 0.7078 0.0000
Rh1 0.0000 0.5000 0.0000
Rh2 0.5000 0.0000 0.0000
Au1 0.0707 0.8387 0.5000
Au2 0.4293 0.3387 0.5000
Au3 0.5707 0.6613 0.5000
Au4 0.9293 0.1613 0.5000
```

=====

First-principles (GGA-PBE) data for a relaxed Er2RhAu6 crystal, as listed in the Alexandria database.

Output
- formation enthalpy at 0 K (eV per atom) = -0.601

CIF file:
```
data_Er2RhAu6
_chemical_formula_sum 'Er2 Rh1 Au6'
_symmetry_space_group_name_H-M 'P 1'
_symmetry_Int_Tables_number 1
_cell_length_a 6.9652
_cell_length_b 6.9652
_cell_length_c 6.9804
_cell_angle_alpha 110.77
_cell_angle_beta 110.77
_cell_angle_gamma 33.14
loop_
_symmetry_equiv_pos_as_xyz
'x,y,z'
loop_
_atom_site_label
_atom_site_fract_x
_atom_site_fract_y
_atom_site_fract_z
Er1 0.0575 0.0575 0.3051
Er2 0.9425 0.9425 0.6949
Rh1 0.5000 0.5000 0.0000
Au1 0.1676 0.1676 0.0060
Au2 0.2717 0.2717 0.6665
Au3 0.3957 0.3957 0.3309
Au4 0.6043 0.6043 0.6691
Au5 0.7283 0.7283 0.3335
Au6 0.8324 0.8324 0.9940
```

=====

Across the entries above, N(E_F) takes the values 1.790; 4.860; 5.985; 14.739; 5.237; 4.377; 3.406; 7.618; 12.279; 2.525; 11.454; 2.534 states/eV/cell, respectively.